An optimized crystal structure of VCoIrI2. Source: the Alexandria database, functional PBE.

Values from the calculation:
Calculated total energy in eV for the cell shown: -21.7
D(E_F) in states/eV/cell: 8.39
Crystal system: tetragonal
Theoretical density in g/cm³: 7.09

Lattice parameters (Å, degrees): 5.2899 4.6495 5.2899 90.00 90.00 90.00
Last column: nearest neighbours and their distance in Å.
Atoms (fractional coordinates):
Co 0.5000 0.5000 0.5000  8 I 3.52, 4 Ir 3.74
V 0.0000 0.0000 0.0000  2 Ir 2.32
Ir 0.0000 0.5000 0.0000  2 V 2.32
I 0.0000 0.0000 0.5000  2 V 2.64
I 0.5000 0.0000 0.0000  2 V 2.64